Here is a geometry-optimized K2CoP2WO10 structure from the Alexandria database. Energies are from PBE+U.

Geometry as POSCAR:
```
K2CoP2WO10
1.0
9.3452 0.0000 0.0000
0.0000 9.3452 0.0000
0.0000 0.0000 10.8611
O Co P K W
40 4 8 8 4
direct
0.7802 0.7575 0.6279 O
0.6823 0.9898 0.2320 O
0.2634 0.2576 0.6442 O
0.7198 0.2575 0.6221 O
0.2575 0.7198 0.3779 O
0.7575 0.7802 0.3721 O
0.0102 0.3177 0.2680 O
0.4557 0.4978 0.3696 O
0.2830 0.9856 0.0283 O
0.2802 0.7425 0.1221 O
0.2425 0.2198 0.8721 O
0.9856 0.2830 0.9717 O
0.2424 0.7634 0.8942 O
0.7424 0.7366 0.8558 O
0.9978 0.0443 0.1196 O
0.0443 0.9978 0.8804 O
0.7634 0.2424 0.1058 O
0.0144 0.7170 0.4717 O
0.0022 0.9557 0.6196 O
0.8177 0.4898 0.0180 O
0.3177 0.0102 0.7320 O
0.1823 0.5102 0.5180 O
0.2170 0.4856 0.2217 O
0.9898 0.6823 0.7680 O
0.9557 0.0022 0.3804 O
0.4978 0.4557 0.6304 O
0.5102 0.1823 0.4820 O
0.7576 0.2366 0.3942 O
0.5144 0.7830 0.2783 O
0.2576 0.2634 0.3558 O
0.5022 0.5443 0.1304 O
0.7366 0.7424 0.1442 O
0.4856 0.2170 0.7783 O
0.7830 0.5144 0.7217 O
0.7425 0.2802 0.8779 O
0.7170 0.0144 0.5283 O
0.2366 0.7576 0.6058 O
0.5443 0.5022 0.8696 O
0.2198 0.2425 0.1279 O
0.4898 0.8177 0.9820 O
0.3652 0.3652 0.5000 Co
0.8652 0.1348 0.2500 Co
0.6348 0.6348 0.0000 Co
0.1348 0.8652 0.7500 Co
0.6713 0.1757 0.5030 P
0.3287 0.8243 0.0030 P
0.8243 0.3287 0.9970 P
0.3243 0.1713 0.7530 P
0.1713 0.3243 0.2470 P
0.6757 0.8287 0.2530 P
0.1757 0.6713 0.4970 P
0.8287 0.6757 0.7470 P
0.7132 0.9972 0.9552 K
0.4972 0.7868 0.7052 K
0.2868 0.0028 0.4552 K
0.9972 0.7132 0.0448 K
0.0028 0.2868 0.5448 K
0.7868 0.4972 0.2948 K
0.5028 0.2132 0.2052 K
0.2132 0.5028 0.7948 K
0.6134 0.3866 0.7500 W
0.3866 0.6134 0.2500 W
0.8866 0.8866 0.5000 W
0.1134 0.1134 0.0000 W
```

The value obtained for the size of the total moment is 12.002 μB/cell. The symmetry is P4_12_12, No. 92. The value obtained for the raw total energy is -6.783 eV/atom.